Computed, not measured: a geometry-optimized Cd2Pb13 structure at the PBE level of DFT.

a b c (Å): 6.169 10.352 8.647
angles (deg): 122.95 88.13 85.26
Atoms (fractional coordinates):
Pb1 0.264 0.405 0.935
Pb2 0.000 0.000 0.000
Pb3 0.065 0.592 0.725
Pb4 0.201 0.813 0.210
Pb5 0.799 0.187 0.790
Pb6 0.534 0.801 0.861
Pb7 0.466 0.199 0.139
Pb8 0.400 0.602 0.400
Pb9 0.328 0.002 0.665
Pb10 0.672 0.998 0.335
Pb11 0.935 0.408 0.275
Pb12 0.736 0.595 0.065
Pb13 0.600 0.398 0.600
Cd1 0.867 0.798 0.532
Cd2 0.133 0.202 0.468

Summary:
Spin magnetization, μB/atom: 0.000
Electronic total energy, eV per atom: -3.32
Energy relative to the elements, meV/atom: 11

Computed, not measured: a geometry-optimized La4Pr2Ho5 structure at the PBE level of DFT.

a b c (Å): 3.555 8.795 14.690
angles (deg): 122.76 96.95 90.00
Atoms (fractional coordinates):
Pr1 0.727 0.628 0.453
Pr2 0.273 0.372 0.547
Ho1 0.812 0.095 0.625
Ho2 0.869 0.788 0.738
Ho3 0.188 0.905 0.375
Ho4 0.131 0.212 0.262
Ho5 0.500 0.000 0.000
La1 0.589 0.479 0.177
La2 0.411 0.521 0.823
La3 0.042 0.743 0.084
La4 0.958 0.257 0.916

Summary:
Spin magnetization, μB/atom: 0.000
Offset from the most stable computed form, meV per atom: 28.8
Electronic total energy, eV per atom: -4.62
Energy relative to the elements, meV/atom: 122

Computed, not measured: a geometry-optimized Ni6Ge2Rh structure at the PBE level of DFT.

a b c (Å): 3.878 6.707 6.707
angles (deg): 42.85 73.16 73.16
Atoms (fractional coordinates):
Ge1 0.846 0.654 0.654
Ge2 0.154 0.346 0.346
Rh1 0.000 0.000 0.000
Ni1 0.605 0.653 0.137
Ni2 0.395 0.863 0.347
Ni3 0.605 0.137 0.653
Ni4 0.212 0.788 0.788
Ni5 0.788 0.212 0.212
Ni6 0.395 0.347 0.863

Summary:
Spin magnetization, μB/atom: 0.150
Electronic total energy, eV per atom: -5.78
Energy relative to the elements, meV/atom: -84

Computed, not measured: a geometry-optimized La2SmNpN4 structure at the PBE level of DFT.

a b c (Å): 3.600 6.185 6.301
angles (deg): 108.79 90.00 90.00
Atoms (fractional coordinates):
N1 0.000 0.230 0.785
N2 0.500 0.225 0.218
N3 0.500 0.775 0.782
N4 0.000 0.770 0.215
La1 0.500 0.000 0.500
La2 0.000 0.500 0.500
Np1 0.000 0.000 0.000
Sm1 0.500 0.500 0.000

Summary:
Spin magnetization, μB/atom: 0.329
Electronic total energy, eV per atom: -8.93

Computed, not measured: a geometry-optimized FeAu2 structure at the PBE level of DFT.

a b c (Å): 5.159 5.159 5.159
angles (deg): 102.39 102.39 124.81
Atoms (fractional coordinates):
Fe1 0.750 0.750 0.000
Fe2 0.250 0.250 0.000
Au1 0.655 0.155 0.809
Au2 0.845 0.655 0.500
Au3 0.155 0.345 0.500
Au4 0.345 0.845 0.191

Summary:
Spin magnetization, μB/atom: 0.967
Electronic total energy, eV per atom: -4.78
Energy relative to the elements, meV/atom: 223

Computed, not measured: a geometry-optimized Y6HoEr2Tm3 structure at the PBE level of DFT.

a b c (Å): 6.122 6.122 11.724
angles (deg): 94.99 94.99 119.94
Atoms (fractional coordinates):
Tm1 0.833 0.167 0.500
Tm2 0.500 0.500 0.500
Tm3 0.167 0.833 0.500
Y1 0.417 0.084 0.251
Y2 0.084 0.417 0.251
Y3 0.250 0.250 0.749
Y4 0.583 0.916 0.749
Y5 0.916 0.583 0.749
Y6 0.750 0.750 0.251
Ho1 0.000 0.000 0.000
Er1 0.667 0.333 0.000
Er2 0.333 0.667 0.000

Summary:
Spin magnetization, μB/atom: 0.000
Electronic total energy, eV per atom: -5.46
Energy relative to the elements, meV/atom: 28

Computed, not measured: a geometry-optimized CaH3Pt structure at the PBE level of DFT.

a b c (Å): 4.075 4.075 4.075
angles (deg): 97.19 97.19 97.19
Atoms (fractional coordinates):
Pt1 0.958 0.958 0.958
Ca1 0.476 0.476 0.476
H1 0.686 0.070 0.686
H2 0.686 0.686 0.070
H3 0.070 0.686 0.686

Summary:
Spin magnetization, μB/atom: 0.000
Electronic total energy, eV per atom: -3.68

Computed, not measured: a geometry-optimized SiB2 structure at the PBE level of DFT.

a b c (Å): 3.649 3.041 10.861
angles (deg): 90.00 90.95 90.00
Atoms (fractional coordinates):
B1 0.445 0.000 0.174
B2 0.310 0.500 0.100
B3 0.310 0.000 0.600
B4 0.102 0.000 0.460
B5 0.445 0.500 0.674
B6 0.947 0.500 0.396
B7 0.947 0.000 0.896
B8 0.102 0.500 0.960
Si1 0.446 0.000 0.811
Si2 0.912 0.500 0.583
Si3 0.912 0.000 0.083
Si4 0.446 0.500 0.311

Summary:
Spin magnetization, μB/atom: 0.000
Offset from the most stable computed form, meV per atom: 102.6
Electronic total energy, eV per atom: -5.97

Computed, not measured: a geometry-optimized Ba2Tl2Pb15 structure at the PBE level of DFT.

a b c (Å): 8.765 8.765 8.765
angles (deg): 82.57 82.57 82.57
Atoms (fractional coordinates):
Pb1 0.000 0.299 0.701
Pb2 0.299 0.000 0.701
Pb3 0.299 0.701 0.000
Pb4 0.000 0.701 0.299
Pb5 0.646 0.159 0.646
Pb6 0.646 0.646 0.159
Pb7 0.701 0.000 0.299
Pb8 0.000 0.500 0.000
Pb9 0.354 0.841 0.354
Pb10 0.159 0.646 0.646
Pb11 0.841 0.354 0.354
Pb12 0.701 0.299 0.000
Pb13 0.500 0.000 0.000
Pb14 0.354 0.354 0.841
Pb15 0.000 0.000 0.500
Ba1 0.335 0.335 0.335
Ba2 0.665 0.665 0.665
Tl1 0.098 0.098 0.098
Tl2 0.902 0.902 0.902

Summary:
Spin magnetization, μB/atom: 0.000
Electronic total energy, eV per atom: -3.51
Energy relative to the elements, meV/atom: -127